# 1
First-principles (GGA-PBE) data for a relaxed structure of La2Sm4Er5, as listed in Alexandria via LeMat-Bulk.

Values from the calculation:
Excess energy over the best structure of this formula in the dataset: 0.045 eV per atom
Formation enthalpy at 0 K: 0.12 eV/atom

CIF file:
```
data_La2Sm4Er5
_chemical_formula_sum 'La4 Sm8 Er10'
_space_group_name_H-M_alt 'C 1 2/m 1'
_space_group_IT_number 12
_space_group_name_Hall '-C 2y'
_cell_length_a 24.099
_cell_length_b 3.533
_cell_length_c 8.721
_cell_angle_alpha 90.00
_cell_angle_beta 94.22
_cell_angle_gamma 90.00
loop_
_atom_site_label
_atom_site_type_symbol
_atom_site_fract_x
_atom_site_fract_y
_atom_site_fract_z
_atom_site_occupancy
La1 La 0.227 0.000 0.324 1
Sm1 Sm 0.041 0.500 0.841 1
Sm2 Sm 0.087 0.000 0.195 1
Er1 Er 0.000 0.000 0.500 1
Er2 Er 0.129 0.500 0.544 1
Er3 Er 0.185 0.500 0.972 1
```

# 2
First-principles (GGA-PBE) data for a relaxed structure of Er5CoHg2, as listed in Alexandria via LeMat-Bulk.

Values from the calculation:
Excess energy over the best structure of this formula in the dataset: 0.298 eV per atom
Formation enthalpy at 0 K: -0.02 eV/atom

CIF file:
```
data_Er5CoHg2
_chemical_formula_sum 'Er20 Co4 Hg8'
_space_group_name_H-M_alt 'C m c m'
_space_group_IT_number 63
_space_group_name_Hall '-C 2c 2'
_cell_length_a 5.189
_cell_length_b 15.802
_cell_length_c 12.194
_cell_angle_alpha 90.00
_cell_angle_beta 90.00
_cell_angle_gamma 90.00
loop_
_atom_site_label
_atom_site_type_symbol
_atom_site_fract_x
_atom_site_fract_y
_atom_site_fract_z
_atom_site_occupancy
Er1 Er 0.000 0.078 0.105 1
Er2 Er 0.000 0.296 0.750 1
Er3 Er 0.000 0.304 0.080 1
Co1 Co 0.000 0.196 0.250 1
Hg1 Hg 0.000 0.112 0.633 1
```

# 3
First-principles (GGA-PBE) data for a relaxed structure of Pa8GaRu6, as listed in Alexandria via LeMat-Bulk.

Values from the calculation:
Formation enthalpy at 0 K: -0.19 eV/atom

CIF file:
```
data_Pa8GaRu6
_chemical_formula_sum 'Pa24 Ga3 Ru18'
_space_group_name_H-M_alt 'R -3'
_space_group_IT_number 148
_space_group_name_Hall '-R 3'
_cell_length_a 9.5181
_cell_length_b 9.5181
_cell_length_c 12.5640
_cell_angle_alpha 90.00
_cell_angle_beta 90.00
_cell_angle_gamma 120.00
loop_
_atom_site_label
_atom_site_type_symbol
_atom_site_fract_x
_atom_site_fract_y
_atom_site_fract_z
_atom_site_occupancy
Pa1 Pa 0.0000 0.0000 0.2400 1
Pa2 Pa 0.0194 0.7266 0.0903 1
Ga1 Ga 0.0000 0.0000 0.0000 1
Ru1 Ru 0.0471 0.2014 0.4054 1
```

# 4
First-principles (GGA-PBE) data for a relaxed structure of KSrCaTl, as listed in Alexandria via LeMat-Bulk.

Values from the calculation:
Formation enthalpy at 0 K: -0.09 eV/atom

CIF file:
```
data_KSrCaTl
_chemical_formula_sum 'K4 Sr4 Ca4 Tl4'
_space_group_name_H-M_alt 'F -4 3 m'
_space_group_IT_number 216
_space_group_name_Hall 'F -4 2 3'
_cell_length_a 8.394
_cell_length_b 8.394
_cell_length_c 8.394
_cell_angle_alpha 90.00
_cell_angle_beta 90.00
_cell_angle_gamma 90.00
loop_
_atom_site_label
_atom_site_type_symbol
_atom_site_fract_x
_atom_site_fract_y
_atom_site_fract_z
_atom_site_occupancy
K1 K 0.000 0.000 0.000 1
Sr1 Sr 0.250 0.250 0.250 1
Ca1 Ca 0.250 0.250 0.750 1
Tl1 Tl 0.000 0.000 0.500 1
```

# 5
First-principles (GGA-PBE) data for a relaxed structure of SrRh2Pb2, as listed in Alexandria via LeMat-Bulk.

Values from the calculation:
Formation enthalpy at 0 K: -0.14 eV/atom

CIF file:
```
data_SrRh2Pb2
_chemical_formula_sum 'Sr2 Rh4 Pb4'
_space_group_name_H-M_alt 'P 4/m b m'
_space_group_IT_number 127
_space_group_name_Hall '-P 4 2ab'
_cell_length_a 7.971
_cell_length_b 7.971
_cell_length_c 3.556
_cell_angle_alpha 90.00
_cell_angle_beta 90.00
_cell_angle_gamma 90.00
loop_
_atom_site_label
_atom_site_type_symbol
_atom_site_fract_x
_atom_site_fract_y
_atom_site_fract_z
_atom_site_occupancy
Sr1 Sr 0.000 0.000 0.000 1
Rh1 Rh 0.132 0.368 0.000 1
Pb1 Pb 0.154 0.654 0.500 1
```

# 6
First-principles (GGA-PBE) data for a relaxed structure of La2CoCu, as listed in Alexandria via LeMat-Bulk.

Values from the calculation:
Formation enthalpy at 0 K: 0.12 eV/atom

CIF file:
```
data_La2CoCu
_chemical_formula_sum 'La4 Co2 Cu2'
_space_group_name_H-M_alt 'I -4 m 2'
_space_group_IT_number 119
_space_group_name_Hall 'I -4 -2'
_cell_length_a 4.235
_cell_length_b 4.235
_cell_length_c 9.613
_cell_angle_alpha 90.00
_cell_angle_beta 90.00
_cell_angle_gamma 90.00
loop_
_atom_site_label
_atom_site_type_symbol
_atom_site_fract_x
_atom_site_fract_y
_atom_site_fract_z
_atom_site_occupancy
La1 La 0.000 0.000 0.000 1
La2 La 0.000 0.500 0.250 1
Co1 Co 0.000 0.500 0.750 1
Cu1 Cu 0.000 0.000 0.500 1
```

# 7
First-principles (GGA-PBE) data for a relaxed structure of Er2Cu12Ni3Ge, as listed in Alexandria via LeMat-Bulk.

Values from the calculation:
Formation enthalpy at 0 K: -0.01 eV/atom

CIF file:
```
data_Er2Cu12Ni3Ge
_chemical_formula_sum 'Er6 Cu36 Ni9 Ge3'
_space_group_name_H-M_alt 'R -3 m'
_space_group_IT_number 166
_space_group_name_Hall '-R 3 2"'
_cell_length_a 8.4263
_cell_length_b 8.4263
_cell_length_c 12.2632
_cell_angle_alpha 90.00
_cell_angle_beta 90.00
_cell_angle_gamma 120.00
loop_
_atom_site_label
_atom_site_type_symbol
_atom_site_fract_x
_atom_site_fract_y
_atom_site_fract_z
_atom_site_occupancy
Er1 Er 0.0000 0.0000 0.2464 1
Cu1 Cu 0.0147 0.5074 0.2073 1
Cu2 Cu 0.0500 0.5250 0.5997 1
Ni1 Ni 0.0000 0.5000 0.0000 1
Ge1 Ge 0.0000 0.0000 0.5000 1
```

# 8
First-principles (GGA-PBE) data for a relaxed structure of LaCeI5, as listed in Alexandria via LeMat-Bulk.

Values from the calculation:
E_form (uncorrected): -1413 meV/atom

CIF file:
```
data_LaCeI5
_chemical_formula_sum 'La2 Ce2 I10'
_space_group_name_H-M_alt 'P 1 21/m 1'
_space_group_IT_number 11
_space_group_name_Hall '-P 2yb'
_cell_length_a 9.421
_cell_length_b 4.383
_cell_length_c 15.137
_cell_angle_alpha 90.00
_cell_angle_beta 94.35
_cell_angle_gamma 90.00
loop_
_atom_site_label
_atom_site_type_symbol
_atom_site_fract_x
_atom_site_fract_y
_atom_site_fract_z
_atom_site_occupancy
La1 La 0.083 0.250 0.157 1
Ce1 Ce 0.403 0.750 0.351 1
I1 I 0.138 0.250 0.784 1
I2 I 0.154 0.250 0.373 1
I3 I 0.183 0.750 0.014 1
I4 I 0.362 0.750 0.570 1
I5 I 0.433 0.250 0.192 1
```

# 9
First-principles (GGA-PBE) data for a relaxed structure of InCu2Pb, as listed in Alexandria via LeMat-Bulk.

Values from the calculation:
Formation enthalpy at 0 K: 0.36 eV/atom

CIF file:
```
data_InCu2Pb
_chemical_formula_sum 'In4 Cu8 Pb4'
_space_group_name_H-M_alt 'I -4 2 d'
_space_group_IT_number 122
_space_group_name_Hall 'I -4 2bw'
_cell_length_a 7.347
_cell_length_b 7.347
_cell_length_c 6.444
_cell_angle_alpha 90.00
_cell_angle_beta 90.00
_cell_angle_gamma 90.00
loop_
_atom_site_label
_atom_site_type_symbol
_atom_site_fract_x
_atom_site_fract_y
_atom_site_fract_z
_atom_site_occupancy
In1 In 0.000 0.000 0.000 1
Cu1 Cu 0.239 0.250 0.125 1
Pb1 Pb 0.000 0.000 0.500 1
```

# 10
First-principles (GGA-PBE) data for a relaxed structure of CuTe2Mo, as listed in Alexandria via LeMat-Bulk.

Values from the calculation:
Excess energy over the best structure of this formula in the dataset: 0.071 eV per atom
E_form (uncorrected): 168 meV/atom

CIF file:
```
data_CuTe2Mo
_chemical_formula_sum 'Cu3 Te6 Mo3'
_space_group_name_H-M_alt 'R -3 m'
_space_group_IT_number 166
_space_group_name_Hall '-R 3 2"'
_cell_length_a 3.5276
_cell_length_b 3.5276
_cell_length_c 22.8969
_cell_angle_alpha 90.00
_cell_angle_beta 90.00
_cell_angle_gamma 120.00
loop_
_atom_site_label
_atom_site_type_symbol
_atom_site_fract_x
_atom_site_fract_y
_atom_site_fract_z
_atom_site_occupancy
Cu1 Cu 0.0000 0.0000 0.0000 1
Te1 Te 0.0000 0.0000 0.2494 1
Mo1 Mo 0.0000 0.0000 0.5000 1
```

# 11
First-principles (GGA-PBE) data for a relaxed structure of ThSc5Cd6, as listed in Alexandria via LeMat-Bulk.

Values from the calculation:
Formation enthalpy at 0 K: -0.23 eV/atom

CIF file:
```
data_ThSc5Cd6
_chemical_formula_sum 'Th2 Sc10 Cd12'
_space_group_name_H-M_alt 'I m m m'
_space_group_IT_number 71
_space_group_name_Hall '-I 2 2'
_cell_length_a 5.035
_cell_length_b 7.364
_cell_length_c 15.087
_cell_angle_alpha 90.00
_cell_angle_beta 90.00
_cell_angle_gamma 90.00
loop_
_atom_site_label
_atom_site_type_symbol
_atom_site_fract_x
_atom_site_fract_y
_atom_site_fract_z
_atom_site_occupancy
Th1 Th 0.000 0.000 0.000 1
Sc1 Sc 0.000 0.000 0.329 1
Sc2 Sc 0.000 0.500 0.000 1
Sc3 Sc 0.000 0.500 0.341 1
Cd1 Cd 0.000 0.220 0.500 1
Cd2 Cd 0.000 0.268 0.174 1
```

# 12
First-principles (GGA-PBE) data for a relaxed structure of TmZnNi, as listed in Alexandria via LeMat-Bulk.

Values from the calculation:
Formation enthalpy at 0 K: -0.34 eV/atom

CIF file:
```
data_TmZnNi
_chemical_formula_sum 'Tm2 Zn2 Ni2'
_space_group_name_H-M_alt 'I 4 m m'
_space_group_IT_number 107
_space_group_name_Hall 'I 4 -2'
_cell_length_a 3.350
_cell_length_b 3.350
_cell_length_c 9.223
_cell_angle_alpha 90.00
_cell_angle_beta 90.00
_cell_angle_gamma 90.00
loop_
_atom_site_label
_atom_site_type_symbol
_atom_site_fract_x
_atom_site_fract_y
_atom_site_fract_z
_atom_site_occupancy
Tm1 Tm 0.000 0.000 0.000 1
Zn1 Zn 0.000 0.000 0.303 1
Ni1 Ni 0.000 0.000 0.675 1
```

Number 1: electronic total energy -4.5680 eV per atom, DOS(E_F) 1.656 states/eV per atom. Number 2: electronic total energy -3.8332 eV per atom, DOS(E_F) 0.974 states/eV per atom. Number 3: electronic total energy -9.1623 eV per atom, DOS(E_F) 1.584 states/eV per atom. Number 4: electronic total energy -1.8784 eV per atom, DOS(E_F) 1.091 states/eV per atom. Number 5: electronic total energy -4.8954 eV per atom, DOS(E_F) 1.307 states/eV per atom. Number 6: electronic total energy -5.1431 eV per atom, DOS(E_F) 1.073 states/eV per atom. Number 7: electronic total energy -4.4695 eV per atom, DOS(E_F) 0.301 states/eV per atom. Number 8: electronic total energy -4.0715 eV per atom, DOS(E_F) 0.917 states/eV per atom. Number 9: electronic total energy -3.2963 eV per atom, DOS(E_F) 0.398 states/eV per atom. Number 10: electronic total energy -5.1346 eV per atom, DOS(E_F) 0.772 states/eV per atom. Number 11: electronic total energy -3.9430 eV per atom, DOS(E_F) 1.094 states/eV per atom. Number 12: electronic total energy -4.1818 eV per atom, DOS(E_F) 0.549 states/eV per atom.